DFT (PBE-GGA) results for a geometry-optimized Be4Re5 structure.

extended XYZ file:
```
9
Lattice="6.1342 -0.0897 1.5507 -5.7766 2.5469 0.4311 -1.4341 -4.8805 3.7637" Properties=species:S:1:pos:R:3 pbc="T T T"
Be 1.5148 -1.6018 1.7127
Be 3.1854 -3.3684 3.6016
Be -4.8868 -1.5815 2.8429
Be -2.3239 -0.7521 1.3519
Re 0.0000 0.0000 0.0000
Re -1.8663 1.6813 0.7987
Re 2.2240 0.7759 1.1831
Re -0.2523 -0.0255 2.6237
Re -0.8242 -2.3978 3.1218
```

Computed properties:
total magnetic moment = 0.00 μB/f.u.
excess energy over the best structure of this formula in the dataset = 247 meV/atom
N(E_F) = 5.356 states/eV/f.u.

=====

DFT (PBE-GGA) results for a geometry-optimized ZnIrI2Cl structure.

extended XYZ file:
```
5
Lattice="-3.8187 0.4768 -3.8734 3.3406 -0.5579 -3.3622 -0.7887 -5.4017 0.1127" Properties=species:S:1:pos:R:3 pbc="T T T"
I -0.3944 -2.7008 0.0563
I -1.9094 0.2384 -1.9367
Zn -0.6334 -2.7414 -3.5614
Ir 0.0000 0.0000 0.0000
Cl 1.6703 -0.2790 -1.6811
```

Computed properties:
total magnetic moment = 0.00 μB/f.u.
energy relative to the elements, uncorrected = 282 meV per atom
N(E_F) = 4.655 states/eV/f.u.

=====

DFT (PBE-GGA) results for a geometry-optimized Sr6Bi2NF structure.

extended XYZ file:
```
20
Lattice="-7.2482 -1.1401 1.5332 1.7158 -6.5302 3.2559 1.1967 4.9826 9.3627" Properties=species:S:1:pos:R:3 pbc="T T T"
Sr -2.8851 -0.9111 4.0068
Sr -2.3086 1.4890 8.5168
Sr 1.5751 -3.6978 4.6970
Sr 2.1954 -1.1153 9.5498
Sr -1.2637 2.1386 5.1071
Sr -4.7577 1.5890 5.8461
Sr -0.4359 -1.0097 6.6767
Sr -3.9310 -1.5594 7.4160
Sr -4.6272 -4.1896 2.8210
Sr -0.8741 -3.5992 2.0271
Sr -0.0463 -6.7475 3.5968
Sr -3.8005 -7.3380 4.3909
Bi -2.0381 -4.2219 5.5493
Bi 1.3265 2.1045 7.8362
Bi -1.4398 -1.7307 10.2304
Bi 0.7281 -0.3870 3.1545
N -2.5970 0.2895 6.2615
N 1.2871 -4.8984 2.4423
F 1.8848 -2.4049 7.1226
F -3.1948 -2.2040 1.5812
```

Computed properties:
total magnetic moment = 0.00 μB/f.u.
energy relative to the elements, uncorrected = -1140 meV per atom
N(E_F) = 5.351 states/eV/f.u.

=====

DFT (PBE-GGA) results for a geometry-optimized Ac2LaMg16 structure.

extended XYZ file:
```
19
Lattice="7.9676 0.0402 0.9430 0.8427 7.9230 0.9430 0.0445 0.0402 8.0231" Properties=species:S:1:pos:R:3 pbc="T T T"
Ac 5.8637 5.2999 6.5619
Ac 3.0283 2.7372 3.3889
La 8.0285 7.2566 8.9845
Mg 6.4049 7.9629 4.0101
Mg 8.2515 2.4485 6.8139
Mg 3.0251 5.5701 8.9629
Mg 8.5676 5.5701 4.0101
Mg 5.8465 2.4485 8.9629
Mg 3.2673 7.9629 6.8139
Mg 3.4982 6.6673 3.9148
Mg 6.9858 2.8088 3.9148
Mg 3.1075 2.8088 7.3804
Mg 5.3163 1.2937 5.9493
Mg 1.8227 5.1589 5.9493
Mg 5.7077 5.1589 2.4777
Mg 0.4347 3.8755 0.4865
Mg 3.8996 0.0421 0.4865
Mg 0.0465 0.0421 3.9296
Mg 1.0180 0.9201 1.1392
```

Computed properties:
total magnetic moment = 0.00 μB/f.u.
final energy = -39.77 eV per cell
N(E_F) = 12.233 states/eV/f.u.

=====

DFT (PBE-GGA) results for a geometry-optimized Pm2SmAg2 structure.

extended XYZ file:
```
10
Lattice="-4.2852 -1.7278 -1.3431 2.5052 -4.9614 -1.6104 -3.3156 -0.4339 11.1370" Properties=species:S:1:pos:R:3 pbc="T T T"
Pm -2.0466 -4.6543 8.2080
Pm -3.0490 -2.4688 -0.0245
Pm -2.1553 -2.0932 5.2600
Pm -2.9404 -5.0299 2.9235
Sm 0.2108 -4.5051 0.8135
Sm -5.3065 -2.6179 7.3700
Ag -1.0319 -4.9764 5.3848
Ag -4.0638 -2.1466 2.7988
Ag -3.4429 -2.5384 9.9409
Ag -1.6528 -4.5847 -1.7573
```

Computed properties:
total magnetic moment = 0.00 μB/f.u.
excess energy over the best structure of this formula in the dataset = 123 meV/atom
N(E_F) = 6.302 states/eV/f.u.

=====

DFT (PBE-GGA) results for a geometry-optimized Ac2Ge4Ir3 structure.

extended XYZ file:
```
9
Lattice="-0.8496 -1.9317 -5.4391 -4.0123 -0.8698 4.1451 -0.4318 7.0967 -0.9287" Properties=species:S:1:pos:R:3 pbc="T T T"
Ac -3.2046 0.1387 -1.0728
Ac -2.0890 4.1566 -1.1499
Ge -3.0674 4.3709 2.0623
Ge -0.9726 3.6676 -4.2860
Ge -2.2262 -0.0757 -4.2850
Ge -4.3211 0.6277 2.0633
Ir -0.4248 -0.9658 -2.7195
Ir 0.0000 0.0000 0.0000
Ir -2.0061 -0.4349 2.0725
```

Computed properties:
total magnetic moment = 0.00 μB/f.u.
final energy = -58.69 eV per cell
N(E_F) = 3.517 states/eV/f.u.